(one)
Compound: BaAgOs3
Source: Alexandria
Functional: PBE
Structure: optimized geometry

Geometry as extended XYZ:
```
5
Lattice="4.987 0.000 0.000 0.000 4.987 0.000 0.000 0.000 4.987" Properties=species:S:1:pos:R:3 pbc="T T T"
Os 0.000 2.494 0.000
Os 0.000 0.000 2.494
Os 2.494 0.000 0.000
Ba 2.494 2.494 2.494
Ag 0.000 0.000 0.000
```

Total magnetic moment   5.62 μB per cell

(two)
Compound: BaAgOs3
Source: Alexandria
Functional: PBE
Structure: optimized geometry

Geometry as extended XYZ:
```
5
Lattice="5.085 0.000 0.000 0.000 5.085 0.000 0.000 0.000 5.085" Properties=species:S:1:pos:R:3 pbc="T T T"
Os 0.000 2.542 0.000
Os 0.000 0.000 2.542
Os 2.542 0.000 0.000
Ba 0.000 0.000 0.000
Ag 2.542 2.542 2.542
```

Total magnetic moment   4.79 μB per cell

Going by the computed energies, the most stable comes first: (one), (two).